## Pr7Ir3 (PBE-GGA)

Data for a relaxed structure of Pr7Ir3.

```
20
Lattice="-7.6965 -6.4703 -1.7049 9.3657 -3.5896 1.8455 -1.2858 -0.1255 6.2808" Properties=species:S:1:pos:R:3 pbc="T T T"
Ir 1.8331 -2.5925 1.5639
Ir 5.9111 -4.1555 2.3675
Ir 2.5599 -6.9728 1.6251
Ir -2.0208 -3.1974 4.0361
Ir -5.3720 -6.0148 3.2938
Ir -1.2940 -7.5777 4.0974
Pr -1.0746 -2.1068 1.3555
Pr -5.8716 -6.1396 0.2929
Pr -0.0342 -8.3769 1.4431
Pr 3.8801 -2.4968 3.6311
Pr 0.9352 -4.9726 2.9787
Pr 4.5188 -6.3461 3.6849
Pr -2.6114 -5.5689 2.4209
Pr 0.4252 -1.8079 4.9417
Pr 6.2625 -4.0451 6.0920
Pr 1.4655 -8.0779 5.0294
Pr -4.6264 -3.8873 5.1352
Pr -1.0427 -5.2608 5.8413
Pr -3.9877 -7.7366 5.1890
Pr 2.4331 -4.6714 6.7448
```

Output
ρ	9.0	Mg/m³
DFT formation energy	-497	meV per atom
volume	288.8	Å³/f.u.
space-group type	No. 186

---

## PrIr (PBE-GGA)

Data for a relaxed structure of PrIr.

```
2
Lattice="3.6498 -0.7573 2.5847 -0.2588 -2.8669 3.5056 2.1188 -4.0065 -0.1855" Properties=species:S:1:pos:R:3 pbc="T T T"
Ir 0.0000 0.0000 0.0000
Pr 1.3774 -1.9077 1.4762
```

Output
ρ	8.4	Mg/m³
DFT formation energy	224	meV per atom
volume	66.0	Å³/f.u.
space-group type	No. 216

---

> Among the records above, which one has the lowest DFT formation energy?

Pr7Ir3

---

> Which formula does entry 2 have?

PrIr